NaSiF: relaxed, PBE-GGA.

Summary:
Magnetization ... 0.00 μB per formula unit
Calculated total energy ... -4.45 eV/atom
Space group ... Cm, No. 8

Cell and atoms, written as POSCAR:
```
NaSiF
1.0
-3.386 -1.984 8.538
2.344 -2.815 0.276
5.007 4.222 0.541
Si F Na
4 4 4
Direct
0.456 0.000 0.820
0.364 0.500 0.606
0.456 0.500 0.320
0.364 0.000 0.106
0.661 0.500 0.422
0.950 0.000 0.265
0.950 0.500 0.765
0.661 0.000 0.922
0.779 0.500 0.165
0.093 0.500 0.136
0.093 0.000 0.636
0.779 0.000 0.665
```

Cs3Th3AgS8: relaxed, PBE-GGA.

Summary:
Magnetization ... 0.00 μB per formula unit
Calculated total energy ... -5.60 eV/atom
Space group ... R-3m, No. 166

Cell and atoms, written as POSCAR:
```
Cs3Th3AgS8
1.0
8.393 0.000 0.000
-4.196 7.273 -0.024
0.000 -4.823 8.142
Th Ag S Cs
3 1 8 3
Direct
0.000 0.500 0.500
0.500 0.000 0.500
0.500 0.500 0.500
0.000 0.000 0.500
0.729 0.459 0.688
0.764 0.528 0.320
0.708 0.944 0.680
0.271 0.541 0.312
0.236 0.944 0.680
0.292 0.056 0.320
0.764 0.056 0.320
0.236 0.472 0.680
0.000 0.000 0.000
0.000 0.500 0.000
0.500 0.500 0.000
```

CaMgW4: relaxed, PBE-GGA.

Summary:
Magnetization ... 0.00 μB per formula unit
Space group ... F-43m, No. 216
Energy of formation ... 0.563 eV per atom

Cell and atoms, written as POSCAR:
```
CaMgW4
1.0
-3.966 1.423 3.485
-5.226 -1.030 -1.237
-2.748 -3.855 2.736
W Mg Ca
4 1 1
Direct
0.375 0.375 0.375
0.375 0.875 0.375
0.375 0.375 0.875
0.875 0.375 0.375
0.000 0.000 0.000
0.750 0.750 0.750
```

Repeat the second record exactly.
Cs3Th3AgS8: relaxed, PBE-GGA.

Summary:
Magnetization ... 0.00 μB per formula unit
Calculated total energy ... -5.60 eV/atom
Space group ... R-3m, No. 166

Cell and atoms, written as POSCAR:
```
Cs3Th3AgS8
1.0
8.393 0.000 0.000
-4.196 7.273 -0.024
0.000 -4.823 8.142
Th Ag S Cs
3 1 8 3
Direct
0.000 0.500 0.500
0.500 0.000 0.500
0.500 0.500 0.500
0.000 0.000 0.500
0.729 0.459 0.688
0.764 0.528 0.320
0.708 0.944 0.680
0.271 0.541 0.312
0.236 0.944 0.680
0.292 0.056 0.320
0.764 0.056 0.320
0.236 0.472 0.680
0.000 0.000 0.000
0.000 0.500 0.000
0.500 0.500 0.000
```

What did the first record say?
NaSiF: relaxed, PBE-GGA.

Summary:
Magnetization ... 0.00 μB per formula unit
Calculated total energy ... -4.45 eV/atom
Space group ... Cm, No. 8

Cell and atoms, written as POSCAR:
```
NaSiF
1.0
-3.386 -1.984 8.538
2.344 -2.815 0.276
5.007 4.222 0.541
Si F Na
4 4 4
Direct
0.456 0.000 0.820
0.364 0.500 0.606
0.456 0.500 0.320
0.364 0.000 0.106
0.661 0.500 0.422
0.950 0.000 0.265
0.950 0.500 0.765
0.661 0.000 0.922
0.779 0.500 0.165
0.093 0.500 0.136
0.093 0.000 0.636
0.779 0.000 0.665
```